# 1
{"formula": "La2FeAgPb", "functional": "GGA-PBE", "state": "relaxed", "total_energy_ev_per_fu": -22.33, "delta_e_f_mev_per_atom": 510.4, "sg": "No. 123", "cell": [[-4.987, -1.991, -2.024], [-0.338, -2.915, 3.700], [-2.809, 4.052, 2.935]], "species": ["Pb", "La", "La", "Ag", "Fe"], "frac_coords": [[0.500, 0.500, 0.500], [0.500, 0.000, 0.000], [0.000, 0.000, 0.500], [0.000, 0.000, 0.000], [0.000, 0.500, 0.000]]}

# 2
{"formula": "ScNi2Mo", "functional": "GGA-PBE", "state": "relaxed", "total_energy_ev_per_fu": -28.32, "delta_e_f_mev_per_atom": 102.2, "e_above_lowest_polymorph_kj_per_mol_atoms": 24.1, "sg": "No. 12", "cell": [[4.398, -0.011, 0.019], [3.561, 2.581, 0.019], [0.689, 0.222, 5.341]], "species": ["Ni", "Ni", "Mo", "Sc"], "frac_coords": [[0.499, 0.499, 0.451], [0.001, 0.001, 0.049], [0.250, 0.250, 0.250], [0.750, 0.750, 0.750]]}

# 3
{"formula": "TaReO2F", "functional": "GGA-PBE", "state": "relaxed", "total_energy_ev_per_fu": -37.08, "e_form_raw_ev_per_fu": -0.99, "sg": "No. 123", "cell": [[-2.631, -2.558, 0.468], [0.775, -1.407, -3.333], [4.030, -3.688, 2.494]], "species": ["O", "O", "Re", "Ta", "F"], "frac_coords": [[0.000, 0.500, 0.000], [0.500, 0.000, 0.000], [0.000, 0.000, 0.000], [0.500, 0.500, 0.500], [0.000, 0.000, 0.500]]}